First-principles (GGA-PBE) data for Ta2SbAs after structural relaxation, as listed in the Alexandria database.

Cell lengths 3.604, 4.807, 10.147 Å; angles 90.00, 90.00, 90.00 degrees
Space group Cmm2 (No. 35)
One atom of each set of equivalent atoms:
Ta: 0.000 0.000 0.000 x2
Ta: 0.000 0.500 0.217 x2
Sb: 0.000 0.000 0.439 x2
As: 0.000 0.500 0.810 x2

Calculated values
DOS at the Fermi energy   0.94 states/eV/f.u.
Magnetization   0.00 μB per formula unit
Energy   -0.60551 Ry/atom
V   21.97 Å³/atom
E_form (uncorrected)   -0.119 eV/atom

First-principles (GGA-PBE) data for DyCuRh4 after structural relaxation, as listed in the Alexandria database.

Cell lengths 7.369, 7.369, 7.369 Å; angles 90.00, 90.00, 90.00 degrees
Space group F-43m (No. 216)
One atom of each set of equivalent atoms:
Dy: 0.000 0.000 0.000 x4
Cu: 0.250 0.250 0.250 x4
Rh: 0.125 0.125 0.625 x16

Calculated values
DOS at the Fermi energy   9.44 states/eV/f.u.
Magnetization   0.08 μB per formula unit
Energy   -0.48558 Ry/atom
ΔH_f (0 K)   -0.256 eV per atom
V   16.67 Å³/atom

First-principles (GGA-PBE) data for Ac8Ru3PtI4 after structural relaxation, as listed in the Alexandria database.

Cell lengths 8.7488, 8.7488, 25.9476 Å; angles 90.00, 90.00, 120.00 degrees
Space group R-3m (No. 166, hexagonal axes)
One atom of each set of equivalent atoms:
Ac: 0.0000 0.0000 0.2285 x6
Ac: 0.0095 0.5048 0.7719 x18
Ru: 0.0000 0.5000 0.5000 x9
Pt: 0.0000 0.0000 0.5000 x3
I: 0.0000 0.0000 0.0000 x3
I: 0.0000 0.5000 0.0000 x9

Calculated values
DOS at the Fermi energy   8.10 states/eV/f.u.
Magnetization   0.00 μB per formula unit
Energy   -0.39767 Ry/atom
V   35.84 Å³/atom
E_form (uncorrected)   -0.852 eV/atom

First-principles (GGA-PBE) data for CrFeCo2 after structural relaxation, as listed in the Alexandria database.

Cell lengths 2.486, 2.486, 7.029 Å; angles 90.00, 90.00, 90.00 degrees
Space group P4/mmm (No. 123)
One atom of each set of equivalent atoms:
Cr: 0.000 0.000 0.000 x1
Fe: 0.000 0.000 0.500 x1
Co: 0.500 0.500 0.246 x2

Calculated values
DOS at the Fermi energy   5.01 states/eV/f.u.
Magnetization   2.53 μB per formula unit
Energy   -0.58880 Ry/atom
ΔH_f (0 K)   0.063 eV per atom
V   10.86 Å³/atom